This record from Alexandria via LeMat-Bulk describes an optimized crystal structure of Sm5Dy4Mg. The functional is PBE.

## Properties
- Distance to the lowest polymorph of the same formula: 0.0 meV/atom
- Volume: 32.1 A^3/atom
- Space group: No. 123
- Total DFT energy (no corrections): -4.27 eV/atom
- Crystal system: tetragonal
- E_form: 0.09 eV per atom

abc: 4.1070 4.1069 19.0320
angles: 90.00 90.00 90.00
Closest atoms and distances in Å follow each position.
Positions (direct):
Sm (0.5000, 0.5000, 0.0955)  4 Mg 3.43, 4 Dy 3.55, 1 Sm 3.63
Sm (0.5000, 0.5000, 0.3023)  8 Dy 3.45-3.47, 1 Sm 3.76
Sm (0.5000, 0.5000, 0.5000)  8 Dy 3.47, 2 Sm 3.76
Sm (0.5000, 0.5000, 0.6977)  8 Dy 3.45-3.47, 1 Sm 3.76
Sm (0.5000, 0.5000, 0.9045)  4 Mg 3.43, 4 Dy 3.55, 1 Sm 3.63
Dy (0.0000, 0.0000, 0.2023)  8 Sm 3.47-3.55, 1 Dy 3.77, 1 Mg 3.85
Dy (0.0000, 0.0000, 0.4006)  8 Sm 3.45-3.47, 2 Dy 3.77-3.79
Dy (0.0000, 0.0000, 0.5994)  8 Sm 3.45-3.47, 2 Dy 3.77-3.79
Dy (0.0000, 0.0000, 0.7977)  8 Sm 3.47-3.55, 1 Dy 3.77, 1 Mg 3.85
Mg (0.0000, 0.0000, 0.0000)  8 Sm 3.43



This record from Alexandria via LeMat-Bulk describes an optimized crystal structure of Sm12Dy6Mg. The functional is PBE.

## Properties
- Distance to the lowest polymorph of the same formula: 0.0 meV/atom
- Volume: 33.3 A^3/atom
- Space group: No. 148
- Total DFT energy (no corrections): -4.39 eV/atom
- Crystal system: trigonal
- E_form: 0.13 eV per atom

abc: 8.5838 8.5838 8.5838
angles: 88.79 88.79 88.79
Closest atoms and distances in Å follow each position.
Positions (direct):
Sm (0.7821, 0.5384, 0.4323)  3 Dy 3.33-3.51, 6 Sm 3.34-3.73
Sm (0.4323, 0.7821, 0.5384)  3 Dy 3.33-3.51, 6 Sm 3.34-3.73
Sm (0.5384, 0.4323, 0.7821)  3 Dy 3.33-3.51, 6 Sm 3.34-3.73
Sm (0.2179, 0.4616, 0.5677)  3 Dy 3.33-3.51, 6 Sm 3.34-3.73
Sm (0.5677, 0.2179, 0.4616)  3 Dy 3.33-3.51, 6 Sm 3.34-3.73
Sm (0.4616, 0.5677, 0.2179)  3 Dy 3.33-3.51, 6 Sm 3.34-3.73
Sm (0.0154, 0.1841, 0.3639)  4 Dy 3.49-3.72, 5 Sm 3.50-3.90, 1 Mg 3.54
Sm (0.8159, 0.6361, 0.9846)  4 Dy 3.49-3.72, 5 Sm 3.50-3.90, 1 Mg 3.54
Sm (0.6361, 0.9846, 0.8159)  4 Dy 3.49-3.72, 5 Sm 3.50-3.90, 1 Mg 3.54
Sm (0.9846, 0.8159, 0.6361)  4 Dy 3.49-3.72, 5 Sm 3.50-3.90, 1 Mg 3.54
Sm (0.1841, 0.3639, 0.0154)  4 Dy 3.49-3.72, 5 Sm 3.50-3.90, 1 Mg 3.54
Sm (0.3639, 0.0154, 0.1841)  4 Dy 3.49-3.72, 5 Sm 3.50-3.90, 1 Mg 3.54
Dy (0.7398, 0.9015, 0.2914)  7 Sm 3.33-3.72, 1 Mg 3.42, 2 Dy 3.47
Dy (0.7086, 0.2602, 0.0985)  7 Sm 3.33-3.72, 1 Mg 3.42, 2 Dy 3.47
Dy (0.0985, 0.7086, 0.2602)  7 Sm 3.33-3.72, 1 Mg 3.42, 2 Dy 3.47
Dy (0.2602, 0.0985, 0.7086)  7 Sm 3.33-3.72, 1 Mg 3.42, 2 Dy 3.47
Dy (0.2914, 0.7398, 0.9015)  7 Sm 3.33-3.72, 1 Mg 3.42, 2 Dy 3.47
Dy (0.9015, 0.2914, 0.7398)  7 Sm 3.33-3.72, 1 Mg 3.42, 2 Dy 3.47
Mg (0.0000, 0.0000, 0.0000)  6 Dy 3.42, 6 Sm 3.54



This record from Alexandria via LeMat-Bulk describes an optimized crystal structure of Sm2DyMg5. The functional is PBE.

## Properties
- Volume: 26.7 A^3/atom
- Space group: No. 139
- Total DFT energy (no corrections): -2.83 eV/atom
- Crystal system: tetragonal
- E_form: -0.07 eV per atom

abc: 5.2580 5.2580 8.5824
angles: 107.84 107.84 90.00
Closest atoms and distances in Å follow each position.
Positions (direct):
Sm (0.7417, 0.7417, 0.4835)  8 Mg 3.27-3.43
Sm (0.2583, 0.2583, 0.5165)  8 Mg 3.27-3.43
Dy (0.0000, 0.0000, 0.0000)  8 Mg 3.19
Mg (0.5000, 0.5000, 0.0000)  8 Mg 3.19
Mg (0.8837, 0.3837, 0.7675)  2 Dy 3.19, 2 Mg 3.19, 4 Sm 3.27-3.43
Mg (0.3837, 0.8837, 0.7675)  2 Dy 3.19, 2 Mg 3.19, 4 Sm 3.27-3.43
Mg (0.1163, 0.6163, 0.2325)  2 Dy 3.19, 2 Mg 3.19, 4 Sm 3.27-3.43
Mg (0.6163, 0.1163, 0.2325)  2 Dy 3.19, 2 Mg 3.19, 4 Sm 3.27-3.43



This record from Alexandria via LeMat-Bulk describes an optimized crystal structure of Sm2DyMg. The functional is PBE.

## Properties
- Distance to the lowest polymorph of the same formula: 63.7 meV/atom
- Volume: 30.5 A^3/atom
- Space group: No. 225
- Total DFT energy (no corrections): -3.87 eV/atom
- Crystal system: cubic
- E_form: 0.03 eV per atom

abc: 5.5682 5.5682 5.5682
angles: 60.00 60.00 60.00
Closest atoms and distances in Å follow each position.
Positions (direct):
Mg (0.5000, 0.5000, 0.5000)  8 Sm 3.41
Sm (0.2500, 0.2500, 0.2500)  4 Dy 3.41, 4 Mg 3.41
Sm (0.7500, 0.7500, 0.7500)  4 Mg 3.41, 4 Dy 3.41
Dy (0.0000, 0.0000, 0.0000)  8 Sm 3.41



This record from Alexandria via LeMat-Bulk describes an optimized crystal structure of Sm5Dy6Mg2. The functional is PBE.

## Properties
- Volume: 32.2 A^3/atom
- Space group: No. 55
- Total DFT energy (no corrections): -4.05 eV/atom
- Crystal system: orthorhombic
- E_form: 0.13 eV per atom

abc: 3.5572 10.4479 22.5017
angles: 90.00 90.00 90.00
Closest atoms and distances in Å follow each position.
Positions (direct):
Sm (0.5000, 0.3331, 0.4941)  4 Sm 3.48-3.56, 7 Dy 3.57-3.67
Sm (0.5000, 0.6669, 0.5059)  4 Sm 3.48-3.56, 7 Dy 3.57-3.67
Sm (0.5000, 0.8331, 0.0059)  4 Sm 3.48-3.56, 7 Dy 3.57-3.67
Sm (0.5000, 0.1669, 0.9941)  4 Sm 3.48-3.56, 7 Dy 3.57-3.67
Sm (0.5000, 0.5805, 0.2514)  4 Mg 3.16-3.18
Sm (0.5000, 0.4195, 0.7486)  4 Mg 3.16-3.18
Sm (0.5000, 0.0805, 0.2486)  4 Mg 3.16-3.18
Sm (0.5000, 0.9195, 0.7514)  4 Mg 3.16-3.18
Sm (0.5000, 0.5000, 0.0000)  4 Sm 3.48-3.56, 6 Dy 3.49-3.54
Sm (0.5000, 0.0000, 0.5000)  4 Sm 3.48-3.56, 6 Dy 3.49-3.54
Dy (0.0000, 0.1445, 0.3817)  1 Mg 3.34, 6 Sm 3.54-3.67, 4 Dy 3.56-3.74
Dy (0.0000, 0.8555, 0.6183)  1 Mg 3.34, 6 Sm 3.54-3.67, 4 Dy 3.56-3.74
Dy (0.0000, 0.6445, 0.1183)  1 Mg 3.34, 6 Sm 3.54-3.67, 4 Dy 3.56-3.74
Dy (0.0000, 0.3555, 0.8817)  1 Mg 3.34, 6 Sm 3.54-3.67, 4 Dy 3.56-3.74
Dy (0.5000, 0.3317, 0.1342)  2 Mg 3.37, 4 Sm 3.49-3.70, 6 Dy 3.56-3.75
Dy (0.5000, 0.6683, 0.8658)  2 Mg 3.37, 4 Sm 3.49-3.70, 6 Dy 3.56-3.75
Dy (0.5000, 0.8317, 0.3658)  2 Mg 3.37, 4 Sm 3.49-3.70, 6 Dy 3.56-3.75
Dy (0.5000, 0.1683, 0.6342)  2 Mg 3.37, 4 Sm 3.49-3.70, 6 Dy 3.56-3.75
Dy (0.0000, 0.5192, 0.3868)  1 Mg 3.44, 4 Dy 3.56-3.75, 6 Sm 3.57-3.59
Dy (0.0000, 0.4808, 0.6132)  1 Mg 3.44, 4 Dy 3.56-3.75, 6 Sm 3.57-3.59
Dy (0.0000, 0.0192, 0.1132)  1 Mg 3.44, 4 Dy 3.56-3.75, 6 Sm 3.57-3.59
Dy (0.0000, 0.9808, 0.8868)  1 Mg 3.44, 4 Dy 3.56-3.75, 6 Sm 3.57-3.59
Mg (0.0000, 0.3310, 0.2612)  4 Sm 3.16-3.18, 4 Dy 3.34-3.44
Mg (0.0000, 0.6690, 0.7388)  4 Sm 3.16-3.18, 4 Dy 3.34-3.44
Mg (0.0000, 0.8310, 0.2388)  4 Sm 3.16-3.18, 4 Dy 3.34-3.44
Mg (0.0000, 0.1690, 0.7612)  4 Sm 3.16-3.18, 4 Dy 3.34-3.44



This record from Alexandria via LeMat-Bulk describes an optimized crystal structure of SmDy8Mg2. The functional is PBE.

## Properties
- Distance to the lowest polymorph of the same formula: 0.0 meV/atom
- Volume: 30.4 A^3/atom
- Space group: No. 12
- Total DFT energy (no corrections): -4.05 eV/atom
- Crystal system: monoclinic
- E_form: 0.02 eV per atom

abc: 5.3006 8.3489 8.7165
angles: 113.45 107.70 90.00
Closest atoms and distances in Å follow each position.
Positions (direct):
Sm (0.5000, 0.0000, 0.0000)  8 Dy 3.31-3.58
Dy (0.6002, 0.4716, 0.2004)  3 Mg 3.29-3.33, 4 Dy 3.55-3.64, 1 Sm 3.58
Dy (0.3122, 0.0490, 0.6244)  1 Mg 3.18, 5 Dy 3.25-3.47, 1 Sm 3.31
Dy (0.1489, 0.2054, 0.2977)  3 Mg 3.22-3.29, 2 Dy 3.47-3.57, 2 Sm 3.54
Dy (0.0552, 0.7354, 0.1103)  1 Mg 3.31, 7 Dy 3.44-3.62
Dy (0.8511, 0.7946, 0.7023)  3 Mg 3.22-3.29, 2 Dy 3.47-3.57, 2 Sm 3.54
Dy (0.6878, 0.9510, 0.3756)  1 Mg 3.18, 5 Dy 3.25-3.47, 1 Sm 3.31
Dy (0.3998, 0.5284, 0.7996)  3 Mg 3.29-3.33, 4 Dy 3.55-3.64, 1 Sm 3.58
Dy (0.9448, 0.2646, 0.8897)  1 Mg 3.31, 7 Dy 3.44-3.62
Mg (0.2262, 0.6296, 0.4524)  8 Dy 3.18-3.33
Mg (0.7738, 0.3704, 0.5476)  8 Dy 3.18-3.33



Which value of E_form does entry 4 give?
0.03 eV per atom



The lowest E_form belongs to which entry?
Sm2DyMg5



Which formula does entry 5 have?
Sm5Dy6Mg2